Entry 1:
AgBHPt4: relaxed, PBE.

Values from the calculation:
As for the total DFT energy (no corrections): -75.1 eV for the cell shown. Its density of states at the Fermi level is 2.102 states/eV/f.u. Its space group is C2/m. The crystal system is monoclinic. Its total magnetization is 0.000 μB/f.u.

Unit cell a=6.5702 b=6.5702 c=5.8351 alpha=94.37 beta=94.37 gamma=50.91
With the nearest neighbours (Å) after each atom.
Sites, in units of the cell vectors:
1 Ag 0.0464 0.0464 0.2250  1 Ag 2.76, 7 Pt 2.83-2.96
2 Ag 0.9536 0.9536 0.7750  1 Ag 2.76, 7 Pt 2.83-2.96
3 B 0.2854 0.2854 0.6346  6 Pt 2.14-2.19
4 B 0.7146 0.7146 0.3654  6 Pt 2.14-2.19
5 H 0.4062 0.4062 0.0317  3 Pt 1.79-1.89
6 H 0.5938 0.5938 0.9683  3 Pt 1.79-1.89
7 Pt 0.1051 0.5948 0.3852  2 B 2.15-2.19
8 Pt 0.2515 0.2515 0.9891  1 H 1.83
9 Pt 0.4052 0.8949 0.6148  2 B 2.15-2.19
10 Pt 0.4636 0.4636 0.7568  2 H 1.79-1.89
11 Pt 0.5364 0.5364 0.2432  2 H 1.79-1.89
12 Pt 0.5948 0.1051 0.3852  2 B 2.15-2.19
13 Pt 0.7485 0.7485 0.0109  1 H 1.83
14 Pt 0.8949 0.4052 0.6148  2 B 2.15-2.19

---

Entry 2:
AgB2HRh: relaxed, PBE.

Values from the calculation:
As for the total DFT energy (no corrections): -16.2 eV for the cell shown. Its density of states at the Fermi level is 4.933 states/eV/f.u. Its space group is P4/mmm. The crystal system is tetragonal. Its total magnetization is 0.000 μB/f.u.

Unit cell a=3.9454 b=3.9454 c=5.3117 alpha=90.00 beta=90.00 gamma=90.00
With the nearest neighbours (Å) after each atom.
Sites, in units of the cell vectors:
1 Ag 0.0000 0.0000 0.0000  4 B 1.97
2 B 0.0000 0.5000 0.0000  2 Ag 1.97
3 B 0.5000 0.0000 0.0000  2 Ag 1.97
4 H 0.5000 0.5000 0.5000  4 Rh 2.79
5 Rh 0.0000 0.0000 0.5000  2 Ag 2.66, 4 H 2.79

---

Entry 3:
SrAgBH2: relaxed, PBE.

Values from the calculation:
As for the total DFT energy (no corrections): -12.1 eV for the cell shown. Its density of states at the Fermi level is 1.681 states/eV/f.u. Its space group is P4/mmm. The crystal system is tetragonal. Its total magnetization is 0.000 μB/f.u.

Unit cell a=4.0922 b=4.0922 c=5.2921 alpha=90.00 beta=90.00 gamma=90.00
With the nearest neighbours (Å) after each atom.
Sites, in units of the cell vectors:
1 Sr 0.0000 0.0000 0.0000  2 B 2.65, 4 Ag 2.89
2 Ag 0.5000 0.5000 0.0000  4 Sr 2.89
3 B 0.0000 0.0000 0.5000  4 H 2.05
4 H 0.0000 0.5000 0.5000  2 B 2.05
5 H 0.5000 0.0000 0.5000  2 B 2.05

---

Entry 4:
ZnAgB2H: relaxed, PBE.

Values from the calculation:
As for the total DFT energy (no corrections): -13.4 eV for the cell shown. Its density of states at the Fermi level is 2.227 states/eV/f.u. Its space group is P4/mmm. The crystal system is tetragonal. Its total magnetization is 0.000 μB/f.u.

Unit cell a=4.2917 b=4.2917 c=3.4945 alpha=90.00 beta=90.00 gamma=90.00
With the nearest neighbours (Å) after each atom.
Sites, in units of the cell vectors:
1 Zn 0.0000 0.0000 0.0000  8 B 2.77, 4 H 3.03
2 Ag 0.5000 0.5000 0.5000  2 H 1.75
3 B 0.0000 0.5000 0.5000  2 Ag 2.15
4 B 0.5000 0.0000 0.5000  2 Ag 2.15
5 H 0.5000 0.5000 0.0000  2 Ag 1.75